Version w
This record from the Alexandria database describes an optimized crystal structure of Sn2SeBr2. The functional is GGA-PBE.

Lattice parameters (Å, degrees): 7.970 7.970 4.633 90.00 90.00 90.00
Fractional coordinates of all 10 atoms:
Br 0.844 0.344 0.500
Sn 0.317 0.817 0.000
Sn 0.683 0.183 0.000
Br 0.344 0.156 0.500
Br 0.656 0.844 0.500
Se 0.500 0.500 0.000
Se 0.000 0.000 0.000
Br 0.156 0.656 0.500
Sn 0.183 0.317 0.000
Sn 0.817 0.683 0.000

Summary:
Space-group type: P4/mbm, No. 127


Version x
This record from the Alexandria database describes an optimized crystal structure of Sn2SeBr2. The functional is GGA-PBE.

Lattice parameters (Å, degrees): 4.324 4.324 10.764 78.41 78.41 60.00
Fractional coordinates of all 5 atoms:
Br 0.223 0.223 0.330
Se 0.000 0.000 0.000
Br 0.777 0.777 0.670
Sn 0.389 0.389 0.833
Sn 0.611 0.611 0.167

Summary:
Space-group type: R-3m, No. 166


Which one sits at the top of the stability order? version x does.


Version w
This record from the Alexandria database describes an optimized crystal structure of SnSe2Br. The functional is GGA-PBE.

Lattice parameters (Å, degrees): 8.745 8.745 8.745 27.31 27.31 27.31
Fractional coordinates of all 4 atoms:
Br 0.000 0.000 0.000
Sn 0.500 0.500 0.500
Se 0.896 0.896 0.896
Se 0.104 0.104 0.104

Summary:
Space-group type: R-3m, No. 166


Version x
This record from the Alexandria database describes an optimized crystal structure of SnSe2Br. The functional is GGA-PBE.

Lattice parameters (Å, degrees): 5.100 5.100 5.100 60.00 60.00 60.00
Fractional coordinates of all 4 atoms:
Sn 0.500 0.500 0.500
Se 0.250 0.250 0.250
Br 0.000 0.000 0.000
Se 0.750 0.750 0.750

Summary:
Space-group type: Fm-3m, No. 225


Which one sits at the top of the stability order? version w does.


Version w
This record from the Alexandria database describes an optimized crystal structure of SnSe2Br. The functional is GGA-PBE.

Lattice parameters (Å, degrees): 12.854 12.854 12.854 13.81 13.81 13.81
Fractional coordinates of all 4 atoms:
Sn 0.000 0.000 0.000
Br 0.500 0.500 0.500
Se 0.072 0.072 0.072
Se 0.928 0.928 0.928

Summary:
Space-group type: R-3m, No. 166


Version x
This record from the Alexandria database describes an optimized crystal structure of SnSe2Br. The functional is GGA-PBE.

Lattice parameters (Å, degrees): 7.509 7.509 6.929 57.19 57.19 90.00
Fractional coordinates of all 8 atoms:
Sn 0.000 0.000 0.000
Se 0.072 0.625 0.250
Br 0.500 0.500 0.000
Sn 0.750 0.250 0.500
Se 0.678 0.125 0.250
Br 0.250 0.750 0.500
Se 0.375 0.322 0.750
Se 0.875 0.928 0.750

Summary:
Space-group type: I-42d, No. 122


Which one sits at the top of the stability order? version x does.


Version w
This record from the Alexandria database describes an optimized crystal structure of SnSeBr2. The functional is GGA-PBE.

Lattice parameters (Å, degrees): 5.361 5.361 5.361 60.00 60.00 60.00
Site moments in Bohr magnetons follow the coordinates.
Fractional coordinates of all 4 atoms:
Br 0.250 0.250 0.250  0.21
Br 0.750 0.750 0.750  0.21
Se 0.000 0.000 0.000  0.95
Sn 0.500 0.500 0.500  0.00

Summary:
Space-group type: Fm-3m, No. 225


Version x
This record from the Alexandria database describes an optimized crystal structure of SnSeBr2. The functional is GGA-PBE.

Lattice parameters (Å, degrees): 10.488 10.488 7.896 48.39 48.39 90.00
Site moments in Bohr magnetons follow the coordinates.
Fractional coordinates of all 8 atoms:
Br 0.875 0.030 0.750  0.10
Br 0.375 0.220 0.750  0.11
Br 0.970 0.625 0.250  0.10
Sn 0.000 0.000 0.000  -0.01
Se 0.250 0.750 0.500  0.43
Br 0.780 0.125 0.250  0.10
Sn 0.750 0.250 0.500  -0.01
Se 0.500 0.500 0.000  0.42

Summary:
Space-group type: I-42d, No. 122


Version y
This record from the Alexandria database describes an optimized crystal structure of SnSeBr2. The functional is GGA-PBE.

Lattice parameters (Å, degrees): 10.440 10.440 10.440 19.21 19.21 19.21
Fractional coordinates of all 4 atoms:
Br 0.091 0.091 0.091
Se 0.500 0.500 0.500
Sn 0.000 0.000 0.000
Br 0.909 0.909 0.909

Summary:
Space-group type: R-3m, No. 166


Which one sits at the top of the stability order? version x does.


Version w
This record from the Alexandria database describes an optimized crystal structure of SrSnSe2Br. The functional is GGA-PBE.

Lattice parameters (Å, degrees): 5.402 5.402 5.478 90.00 90.00 90.00
Fractional coordinates of all 5 atoms:
Sr 0.500 0.500 0.500
Se 0.000 0.500 0.000
Sn 0.000 0.000 0.000
Se 0.500 0.000 0.000
Br 0.000 0.000 0.500

Summary:
Space-group type: P4/mmm, No. 123


Version x
This record from the Alexandria database describes an optimized crystal structure of SrSnSe2Br. The functional is GGA-PBE.

Lattice parameters (Å, degrees): 5.744 5.744 5.674 90.00 90.00 90.00
Fractional coordinates of all 5 atoms:
Br 0.000 0.000 0.500
Se 0.000 0.500 0.000
Sr 0.000 0.000 0.000
Sn 0.500 0.500 0.500
Se 0.500 0.000 0.000

Summary:
Space-group type: P4/mmm, No. 123


Which one sits at the top of the stability order? version w does.


Version w
This record from the Alexandria database describes an optimized crystal structure of TcSnSeBr2. The functional is GGA-PBE.

Lattice parameters (Å, degrees): 5.219 5.219 4.778 90.00 90.00 90.00
Site moments in Bohr magnetons follow the coordinates.
Fractional coordinates of all 5 atoms:
Br 0.000 0.500 0.000  0.01
Se 0.000 0.000 0.500  -0.01
Br 0.500 0.000 0.000  0.01
Tc 0.000 0.000 0.000  0.41
Sn 0.500 0.500 0.500  0.04

Summary:
Space-group type: P4/mmm, No. 123


Version x
This record from the Alexandria database describes an optimized crystal structure of TcSnSeBr2. The functional is GGA-PBE.

Lattice parameters (Å, degrees): 4.824 5.744 4.824 90.00 90.00 90.00
Site moments in Bohr magnetons follow the coordinates.
Fractional coordinates of all 5 atoms:
Tc 0.000 0.000 0.000  0.89
Br 0.000 0.000 0.500  0.01
Br 0.500 0.000 0.000  0.07
Se 0.500 0.500 0.500  -0.33
Sn 0.000 0.500 0.000  0.00

Summary:
Space-group type: P4/mmm, No. 123


Which one sits at the top of the stability order? version w does.


Version w
This record from the Alexandria database describes an optimized crystal structure of SnWSe2Br. The functional is GGA-PBE.

Lattice parameters (Å, degrees): 5.333 5.333 5.238 90.00 90.00 90.00
Site moments in Bohr magnetons follow the coordinates.
Fractional coordinates of all 5 atoms:
Br 0.000 0.000 0.500  0.04
Se 0.500 0.000 0.000  -0.19
W 0.500 0.500 0.500  3.34
Se 0.000 0.500 0.000  -0.19
Sn 0.000 0.000 0.000  -0.01

Summary:
Space-group type: P4/mmm, No. 123


Version x
This record from the Alexandria database describes an optimized crystal structure of SnWSe2Br. The functional is GGA-PBE.

Lattice parameters (Å, degrees): 4.925 4.925 5.329 90.00 90.00 90.00
Site moments in Bohr magnetons follow the coordinates.
Fractional coordinates of all 5 atoms:
Se 0.500 0.000 0.000  -0.01
Se 0.000 0.500 0.000  -0.01
Sn 0.500 0.500 0.500  0.04
Br 0.000 0.000 0.500  0.01
W 0.000 0.000 0.000  0.32

Summary:
Space-group type: P4/mmm, No. 123


Which one sits at the top of the stability order? version x does.


Version w
This record from the Alexandria database describes an optimized crystal structure of YSnSeBr2. The functional is GGA-PBE.

Lattice parameters (Å, degrees): 5.505 5.505 5.646 90.00 90.00 90.00
Site moments in Bohr magnetons follow the coordinates.
Fractional coordinates of all 5 atoms:
Se 0.000 0.000 0.500  -0.02
Br 0.500 0.000 0.000  0.00
Sn 0.000 0.000 0.000  0.00
Y 0.500 0.500 0.500  0.57
Br 0.000 0.500 0.000  0.00

Summary:
Space-group type: P4/mmm, No. 123


Version x
This record from the Alexandria database describes an optimized crystal structure of YSnSeBr2. The functional is GGA-PBE.

Lattice parameters (Å, degrees): 5.533 5.533 5.561 90.00 90.00 90.00
Site moments in Bohr magnetons follow the coordinates.
Fractional coordinates of all 5 atoms:
Y 0.000 0.000 0.000  0.01
Br 0.000 0.500 0.000  0.01
Sn 0.500 0.500 0.500  0.41
Br 0.500 0.000 0.000  0.01
Se 0.000 0.000 0.500  -0.02

Summary:
Space-group type: P4/mmm, No. 123


Which one sits at the top of the stability order? version x does.


Version w
This record from the Alexandria database describes an optimized crystal structure of YSnSe2Br. The functional is GGA-PBE.

Lattice parameters (Å, degrees): 5.526 5.526 5.362 90.00 90.00 90.00
Fractional coordinates of all 5 atoms:
Se 0.000 0.500 0.000
Sn 0.500 0.500 0.500
Br 0.000 0.000 0.500
Y 0.000 0.000 0.000
Se 0.500 0.000 0.000

Summary:
Space-group type: P4/mmm, No. 123


Version x
This record from the Alexandria database describes an optimized crystal structure of YSnSe2Br. The functional is GGA-PBE.

Lattice parameters (Å, degrees): 5.369 5.369 5.324 90.00 90.00 90.00
Site moments in Bohr magnetons follow the coordinates.
Fractional coordinates of all 5 atoms:
Sn 0.000 0.000 0.000  0.01
Se 0.500 0.000 0.000  -0.01
Br 0.000 0.000 0.500  -0.01
Y 0.500 0.500 0.500  0.34
Se 0.000 0.500 0.000  -0.01

Summary:
Space-group type: P4/mmm, No. 123


Which one sits at the top of the stability order? version w does.


Version w
This record from the Alexandria database describes an optimized crystal structure of ZrSnSeBr2. The functional is GGA-PBE.

Lattice parameters (Å, degrees): 5.526 5.526 5.490 90.00 90.00 90.00
Site moments in Bohr magnetons follow the coordinates.
Fractional coordinates of all 5 atoms:
Zr 0.500 0.500 0.500  1.64
Br 0.500 0.000 0.000  0.00
Se 0.000 0.000 0.500  -0.05
Sn 0.000 0.000 0.000  0.00
Br 0.000 0.500 0.000  0.00

Summary:
Space-group type: P4/mmm, No. 123


Version x
This record from the Alexandria database describes an optimized crystal structure of ZrSnSeBr2. The functional is GGA-PBE.

Lattice parameters (Å, degrees): 5.331 5.331 5.265 90.00 90.00 90.00
Site moments in Bohr magnetons follow the coordinates.
Fractional coordinates of all 5 atoms:
Se 0.000 0.000 0.500  0.00
Br 0.000 0.500 0.000  0.01
Zr 0.000 0.000 0.000  -0.01
Br 0.500 0.000 0.000  0.01
Sn 0.500 0.500 0.500  0.17

Summary:
Space-group type: P4/mmm, No. 123


Which one sits at the top of the stability order? version x does.


Version w
This record from the Alexandria database describes an optimized crystal structure of Sr2SeBr. The functional is GGA-PBE.

Lattice parameters (Å, degrees): 5.609 5.609 5.609 60.00 60.00 60.00
Site moments in Bohr magnetons follow the coordinates.
Fractional coordinates of all 4 atoms:
Br 0.500 0.500 0.500  0.01
Sr 0.000 0.000 0.000  0.12
Sr 0.250 0.250 0.250  0.12
Se 0.750 0.750 0.750  -0.03

Summary:
Space-group type: F-43m, No. 216


Version x
This record from the Alexandria database describes an optimized crystal structure of Sr2SeBr. The functional is GGA-PBE.

Lattice parameters (Å, degrees): 4.316 4.162 7.689 87.46 90.00 90.00
Fractional coordinates of all 4 atoms:
Sr 0.000 0.453 0.524
Br 0.500 0.250 0.250
Se 0.500 0.750 0.750
Sr 0.000 0.047 0.976

Summary:
Space-group type: P2/m, No. 10


Which one sits at the top of the stability order? version x does.


Version w
This record from the Alexandria database describes an optimized crystal structure of Sr2SeBr. The functional is GGA-PBE.

Lattice parameters (Å, degrees): 4.403 4.403 8.354 74.72 74.72 60.00
Site moments in Bohr magnetons follow the coordinates.
Fractional coordinates of all 4 atoms:
Sr 0.261 0.261 0.216  0.11
Br 0.494 0.494 0.518  0.01
Se 0.672 0.672 0.985  0.00
Sr 0.073 0.073 0.780  0.05

Summary:
Space-group type: R3m, No. 160


Version x
This record from the Alexandria database describes an optimized crystal structure of Sr2SeBr. The functional is GGA-PBE.

Lattice parameters (Å, degrees): 7.074 7.074 8.646 65.85 65.85 90.00
Site moments in Bohr magnetons follow the coordinates.
Fractional coordinates of all 8 atoms:
Sr 0.147 0.625 0.250  0.06
Sr 0.375 0.397 0.750  0.06
Br 0.750 0.250 0.500  0.01
Se 0.500 0.500 0.000  0.00
Se 0.250 0.750 0.500  0.00
Br 0.000 0.000 0.000  0.01
Sr 0.603 0.125 0.250  0.06
Sr 0.875 0.853 0.750  0.06

Summary:
Space-group type: I-42d, No. 122


Version y
This record from the Alexandria database describes an optimized crystal structure of Sr2SeBr. The functional is GGA-PBE.

Lattice parameters (Å, degrees): 7.792 7.792 4.281 89.88 89.88 34.24
Site moments in Bohr magnetons follow the coordinates.
Fractional coordinates of all 4 atoms:
Sr 0.014 0.014 0.126  0.07
Se 0.218 0.218 0.124  0.01
Br 0.525 0.525 0.626  0.02
Sr 0.743 0.743 0.624  0.04

Summary:
Space-group type: Cm, No. 8


Version z
This record from the Alexandria database describes an optimized crystal structure of Sr2SeBr. The functional is GGA-PBE.

Lattice parameters (Å, degrees): 5.446 5.446 5.446 60.00 60.00 60.00
Fractional coordinates of all 4 atoms:
Br 0.500 0.500 0.500
Se 0.000 0.000 0.000
Sr 0.750 0.750 0.750
Sr 0.250 0.250 0.250

Summary:
Space-group type: Fm-3m, No. 225


Which one sits at the top of the stability order? version w does.